# 1
CePuPaGa after structural relaxation, computed with PBE-GGA.

extended XYZ file:
```
4
Lattice="0.000 3.591 3.591 3.591 0.000 3.591 3.591 3.591 0.000" Properties=species:S:1:pos:R:3 pbc="T T T"
Ce 0.000 0.000 0.000
Pu 3.591 3.591 3.591
Pa 5.386 5.386 5.386
Ga 1.795 1.795 1.795
```

Calculated values
- ΔH_f (0 K) (eV per atom) = -0.013
- total magnetization (μB/cell) = 7.752
- mass density (g/cm3) = 12.3
- total DFT energy (no corrections) (Ry per atom) = -0.6034

# 2
HfScAu after structural relaxation, computed with PBE-GGA.

extended XYZ file:
```
6
Lattice="7.536 -1.660 0.000 7.536 1.660 0.000 -0.115 0.000 4.977" Properties=species:S:1:pos:R:3 pbc="T T T"
Hf 0.000 0.000 0.000
Hf 10.214 0.000 0.113
Sc 2.081 0.000 2.576
Sc 12.431 0.000 2.757
Au 5.005 0.000 0.363
Au 7.357 0.000 2.416
```

Calculated values
- distance to the lowest polymorph of the same formula (eV/atom) = 0.073
- ΔH_f (0 K) (eV per atom) = -0.406
- total magnetization (μB/cell) = 0.000
- mass density (g/cm3) = 11.2
- total DFT energy (no corrections) (Ry per atom) = -0.5091